Computed, not measured: a relaxed Ca2AlCu2 crystal at the PBE-GGA level of DFT.

energy of formation from the pure elements = -0.24 eV/atom
electronic total energy = -3.424 eV per atom

Geometry as CIF:
```
data_Ca2AlCu2
_chemical_formula_sum 'Ca8 Al4 Cu8'
_symmetry_space_group_name_H-M 'C 1 2/c 1'
_symmetry_Int_Tables_number 15
_cell_length_a 9.639
_cell_length_b 5.683
_cell_length_c 8.008
_cell_angle_alpha 90.00
_cell_angle_beta 102.47
_cell_angle_gamma 90.00
loop_
_symmetry_equiv_pos_as_xyz
'x,y,z'
'-x,-y,-z'
'-x,y,-z+1/2'
'x,-y,z+1/2'
'x+1/2,y+1/2,z'
'-x+1/2,-y+1/2,-z'
'-x+1/2,y+1/2,-z+1/2'
'x+1/2,-y+1/2,z+1/2'
loop_
_atom_site_label
_atom_site_type_symbol
_atom_site_fract_x
_atom_site_fract_y
_atom_site_fract_z
Ca1 Ca 0.151 0.133 0.151
Al1 Al 0.000 0.372 0.750
Cu1 Cu 0.129 0.366 0.501
```



Computed, not measured: a relaxed CaAl2Cu crystal at the PBE-GGA level of DFT.

energy of formation from the pure elements = -0.10 eV/atom
electronic total energy = -3.498 eV per atom

Geometry as CIF:
```
data_CaAl2Cu
_chemical_formula_sum 'Ca1 Al2 Cu1'
_symmetry_space_group_name_H-M 'P 1 m 1'
_symmetry_Int_Tables_number 6
_cell_length_a 3.376
_cell_length_b 4.165
_cell_length_c 5.990
_cell_angle_alpha 90.00
_cell_angle_beta 106.23
_cell_angle_gamma 90.00
loop_
_symmetry_equiv_pos_as_xyz
'x,y,z'
'x,-y,z'
loop_
_atom_site_label
_atom_site_type_symbol
_atom_site_fract_x
_atom_site_fract_y
_atom_site_fract_z
Ca1 Ca 0.000 0.000 0.000
Al1 Al 0.311 0.500 0.624
Al2 Al 0.736 0.000 0.473
Cu1 Cu 0.626 0.500 0.257
```



Computed, not measured: a relaxed Ca8Al2Cu crystal at the PBE-GGA level of DFT.

energy of formation from the pure elements = -0.03 eV/atom
electronic total energy = -2.537 eV per atom

Geometry as CIF:
```
data_Ca8Al2Cu
_chemical_formula_sum 'Ca16 Al4 Cu2'
_symmetry_space_group_name_H-M 'I m m m'
_symmetry_Int_Tables_number 71
_symmetry_space_group_name_Hall '-I 2 2'
_cell_length_a 5.298
_cell_length_b 8.966
_cell_length_c 14.538
_cell_angle_alpha 90.00
_cell_angle_beta 90.00
_cell_angle_gamma 90.00
loop_
_atom_site_label
_atom_site_type_symbol
_atom_site_fract_x
_atom_site_fract_y
_atom_site_fract_z
Ca1 Ca 0.000 0.000 0.132
Ca2 Ca 0.000 0.216 0.342
Ca3 Ca 0.000 0.324 0.000
Al1 Al 0.000 0.500 0.196
Cu1 Cu 0.000 0.500 0.500
```